1.
This record from Alexandria describes NaLiZn2Ni after structural relaxation. The functional is PBE-GGA.

ΔE to the lowest computed polymorph = 384 meV/atom
Energy of formation = 41 kJ/mol of atoms
Magnetic moment = 0.00 μB per formula unit

Cell lengths 4.580, 4.257, 4.580 Å; angles 90.00, 90.00, 90.00 degrees
Element x y z (fractional)
Zn1 0.000 0.000 0.500
Zn2 0.500 0.000 0.000
Na1 0.500 0.500 0.500
Ni1 0.000 0.500 0.000
Li1 0.000 0.000 0.000


2.
This record from Alexandria describes Cs2NaSnCl5 after structural relaxation. The functional is PBE-GGA.

Formation energy without anion corrections = -1596 meV/atom
Magnetic moment = 0.00 μB per formula unit

Cell lengths 4.824, 9.760, 14.168 Å; angles 90.00, 90.00, 104.31 degrees
Element x y z (fractional)
Cs1 0.850 0.700 0.806
Cs2 0.150 0.300 0.306
Cs3 0.108 0.216 0.675
Cs4 0.892 0.784 0.175
Cl1 0.492 0.984 0.778
Cl2 0.637 0.273 0.495
Cl3 0.931 0.863 0.549
Cl4 0.716 0.433 0.146
Cl5 0.284 0.567 0.646
Cl6 0.334 0.669 0.384
Cl7 0.363 0.727 0.995
Cl8 0.666 0.331 0.884
Cl9 0.069 0.137 0.049
Cl10 0.508 0.016 0.278
Sn1 0.538 0.076 0.956
Sn2 0.462 0.924 0.456
Na1 0.220 0.440 0.036
Na2 0.780 0.560 0.536


3.
This record from Alexandria describes P2OsPt after structural relaxation. The functional is PBE-GGA.

ΔE to the lowest computed polymorph = 929 meV/atom
Energy of formation = 69 kJ/mol of atoms
Magnetic moment = 0.00 μB per formula unit

Cell lengths 4.371, 4.371, 4.371 Å; angles 60.00, 60.00, 60.00 degrees
Element x y z (fractional)
P1 0.250 0.250 0.250
P2 0.000 0.000 0.000
Pt1 0.750 0.750 0.750
Os1 0.500 0.500 0.500